Here is a geometry-optimized BaLa3 structure from the Alexandria database. Energies are from PBE.

Cell lengths 5.445, 5.445, 5.445 Å; angles 90.00, 90.00, 90.00 degrees
Fractional coordinates of all 4 atoms:
La  0.000  0.500  0.500
La  0.500  0.000  0.500
La  0.500  0.500  0.000
Ba  0.000  0.000  0.000

Output
Energy of formation from the pure elements: 0.16 eV per atom
Total magnetization: 0.00 μB per formula unit
Energy above the lowest structure with this stoichiometry: 78 meV/atom

***

Here is a geometry-optimized Ba3La4In4 structure from the Alexandria database. Energies are from PBE.

Cell lengths 5.576, 8.549, 10.284 Å; angles 114.56, 105.73, 90.00 degrees
Fractional coordinates of all 11 atoms:
La  0.327  0.125  0.655
La  0.327  0.530  0.655
In  0.500  0.175  0.000
La  0.673  0.470  0.345
Ba  0.115  0.115  0.231
Ba  0.000  0.500  0.000
Ba  0.885  0.885  0.769
In  0.791  0.291  0.582
In  0.500  0.825  0.000
In  0.209  0.709  0.418
La  0.673  0.875  0.345

Output
Energy of formation from the pure elements: -0.29 eV per atom
Total magnetization: 0.00 μB per formula unit

***

Here is a geometry-optimized RuSe6Br12 structure from the Alexandria database. Energies are from PBE.

Cell lengths 14.174, 14.174, 14.174 Å; angles 31.58, 31.58, 31.58 degrees
Site moments in Bohr magnetons follow the coordinates.
Fractional coordinates of all 19 atoms:
Br  0.245  0.736  0.125  0.05
Br  0.755  0.264  0.875  0.05
Br  0.125  0.245  0.736  0.05
Se  0.889  0.824  0.532  0.01
Br  0.264  0.875  0.755  0.05
Ru  0.000  0.000  0.000  1.17
Br  0.453  0.164  0.768  0.01
Se  0.111  0.176  0.468  0.01
Se  0.176  0.468  0.111  0.01
Br  0.164  0.768  0.453  0.01
Br  0.875  0.755  0.264  0.05
Br  0.768  0.453  0.164  0.01
Br  0.836  0.232  0.547  0.01
Se  0.824  0.532  0.889  0.01
Se  0.468  0.111  0.176  0.01
Se  0.532  0.889  0.824  0.01
Br  0.547  0.836  0.232  0.01
Br  0.736  0.125  0.245  0.05
Br  0.232  0.547  0.836  0.01

Output
Total magnetization: 1.88 μB per formula unit
E_form (uncorrected): -0.05 eV/atom

***

Here is a geometry-optimized ScTl2Fe structure from the Alexandria database. Energies are from PBE.

Cell lengths 5.986, 5.986, 4.801 Å; angles 66.36, 66.36, 33.35 degrees
Site moments in Bohr magnetons follow the coordinates.
Fractional coordinates of all 4 atoms:
Sc  0.210  0.210  0.290  -0.31
Tl  0.782  0.782  0.718  0.00
Fe  0.508  0.508  0.492  2.49
Tl  0.000  0.000  0.000  -0.02

Output
Energy of formation from the pure elements: 0.20 eV per atom
Total magnetization: 2.03 μB per formula unit
Energy above the lowest structure with this stoichiometry: 16 meV/atom

***

Here is a geometry-optimized LaAl2OsO8 structure from the Alexandria database. Energies are from PBE.

Cell lengths 4.795, 4.795, 6.822 Å; angles 81.37, 81.38, 78.90 degrees
Site moments in Bohr magnetons follow the coordinates.
Fractional coordinates of all 12 atoms:
O  0.249  0.248  0.930  -0.02
La  0.000  0.000  0.500  0.02
O  0.666  0.667  0.498  0.00
Os  0.000  0.000  0.000  0.58
Al  0.456  0.456  0.710  0.00
O  0.785  0.228  0.205  0.07
O  0.215  0.772  0.795  0.07
O  0.334  0.333  0.502  0.00
O  0.227  0.784  0.205  0.07
O  0.773  0.216  0.795  0.07
Al  0.544  0.544  0.290  0.00
O  0.751  0.752  0.070  -0.02

Output
Total magnetization: 0.96 μB per formula unit
E_form (uncorrected): -2.21 eV/atom

***

Here is a geometry-optimized NdGa2Ni2Ge structure from the Alexandria database. Energies are from PBE.

Cell lengths 4.399, 4.399, 5.632 Å; angles 90.00, 90.00, 90.00 degrees
Fractional coordinates of all 6 atoms:
Ni  0.000  0.500  0.000
Ni  0.500  0.000  0.000
Nd  0.000  0.000  0.500
Ge  0.000  0.000  0.000
Ga  0.500  0.500  0.259
Ga  0.500  0.500  0.741

Output
Energy of formation from the pure elements: -0.34 eV per atom
Total magnetization: 0.00 μB per formula unit

***

Repeat the fourth record exactly.
Here is a geometry-optimized ScTl2Fe structure from the Alexandria database. Energies are from PBE.

Cell lengths 5.986, 5.986, 4.801 Å; angles 66.36, 66.36, 33.35 degrees
Site moments in Bohr magnetons follow the coordinates.
Fractional coordinates of all 4 atoms:
Sc  0.210  0.210  0.290  -0.31
Tl  0.782  0.782  0.718  0.00
Fe  0.508  0.508  0.492  2.49
Tl  0.000  0.000  0.000  -0.02

Output
Energy of formation from the pure elements: 0.20 eV per atom
Total magnetization: 2.03 μB per formula unit
Energy above the lowest structure with this stoichiometry: 16 meV/atom